# CeSc2Cu, optimized geometry, DFT PBE
# - polymorph energy (0 for the lowest one) (eV/atom) = 0.158
# - DFT formation energy (eV per atom) = 0.0761
# - VASP energy (eV/atom) = -5.5972
data_CeSc2Cu
_space_group_name_H-M_alt 'R 3 m'
_space_group_IT_number 160
_space_group_name_Hall 'R 3 -2"'
_cell_length_a 3.3253
_cell_length_b 3.3253
_cell_length_c 28.6738
_cell_angle_alpha 90.00
_cell_angle_beta 90.00
_cell_angle_gamma 120.00
loop_
_atom_site_label
_atom_site_type_symbol
_atom_site_fract_x
_atom_site_fract_y
_atom_site_fract_z
_atom_site_occupancy
Ce1 Ce 0.0000 0.0000 0.0000 1
Sc1 Sc 0.0000 0.0000 0.5667 1
Sc2 Sc 0.0000 0.0000 0.7638 1
Cu1 Cu 0.0000 0.0000 0.1649 1

=====

# CeSc2Cu, optimized geometry, DFT PBE
# - polymorph energy (0 for the lowest one) (eV/atom) = 0.000
# - DFT formation energy (eV per atom) = -0.0816
# - VASP energy (eV/atom) = -5.7549
data_CeSc2Cu
_space_group_name_H-M_alt 'P 4/m m m'
_space_group_IT_number 123
_space_group_name_Hall '-P 4 2'
_cell_length_a 3.280
_cell_length_b 3.280
_cell_length_c 8.084
_cell_angle_alpha 90.00
_cell_angle_beta 90.00
_cell_angle_gamma 90.00
loop_
_atom_site_label
_atom_site_type_symbol
_atom_site_fract_x
_atom_site_fract_y
_atom_site_fract_z
_atom_site_occupancy
Ce1 Ce 0.000 0.000 0.000 1
Sc1 Sc 0.500 0.500 0.303 1
Cu1 Cu 0.000 0.000 0.500 1

=====

# Ce2ScCu6, optimized geometry, DFT PBE
# - DFT formation energy (eV per atom) = -0.1470
# - VASP energy (eV/atom) = -4.8999
data_Ce2ScCu6
_space_group_name_H-M_alt 'P 6/m m m'
_space_group_IT_number 191
_space_group_name_Hall '-P 6 2'
_cell_length_a 7.5044
_cell_length_b 7.5044
_cell_length_c 3.2507
_cell_angle_alpha 90.00
_cell_angle_beta 90.00
_cell_angle_gamma 120.00
loop_
_atom_site_label
_atom_site_type_symbol
_atom_site_fract_x
_atom_site_fract_y
_atom_site_fract_z
_atom_site_occupancy
Ce1 Ce 0.3333 0.6667 0.0000 1
Sc1 Sc 0.0000 0.0000 0.0000 1
Cu1 Cu 0.0000 0.3277 0.5000 1

=====

# CeScCu3, optimized geometry, DFT PBE
# - DFT formation energy (eV per atom) = -0.1756
# - VASP energy (eV/atom) = -5.0863
data_CeScCu3
_space_group_name_H-M_alt 'C m c m'
_space_group_IT_number 63
_space_group_name_Hall '-C 2c 2'
_cell_length_a 3.309
_cell_length_b 25.400
_cell_length_c 4.346
_cell_angle_alpha 90.00
_cell_angle_beta 90.00
_cell_angle_gamma 90.00
loop_
_atom_site_label
_atom_site_type_symbol
_atom_site_fract_x
_atom_site_fract_y
_atom_site_fract_z
_atom_site_occupancy
Ce1 Ce 0.000 0.076 0.250 1
Sc1 Sc 0.000 0.209 0.750 1
Cu1 Cu 0.000 0.321 0.750 1
Cu2 Cu 0.000 0.376 0.250 1
Cu3 Cu 0.000 0.475 0.250 1

=====

# Ce2ScCuSe5, optimized geometry, DFT PBE
# - energy relative to the elements, uncorrected (eV/atom) = -1.5254
# - VASP energy (eV/atom) = -5.9385
data_Ce2ScCuSe5
_space_group_name_H-M_alt 'C m c 21'
_space_group_IT_number 36
_cell_length_a 4.018
_cell_length_b 17.352
_cell_length_c 11.998
_cell_angle_alpha 90.00
_cell_angle_beta 90.00
_cell_angle_gamma 90.00
loop_
_space_group_symop_operation_xyz
'x,y,z'
'-x,-y,z+1/2'
'-x,y,z'
'x,-y,z+1/2'
'x+1/2,y+1/2,z'
'-x+1/2,-y+1/2,z+1/2'
'-x+1/2,y+1/2,z'
'x+1/2,-y+1/2,z+1/2'
loop_
_atom_site_label
_atom_site_type_symbol
_atom_site_fract_x
_atom_site_fract_y
_atom_site_fract_z
_atom_site_occupancy
Ce1 Ce 0.000 0.112 0.000 1
Ce2 Ce 0.000 0.125 0.623 1
Sc1 Sc 0.000 0.192 0.323 1
Cu1 Cu 0.000 0.434 0.760 1
Se1 Se 0.000 0.044 0.367 1
Se2 Se 0.000 0.290 0.978 1
Se3 Se 0.000 0.307 0.665 1
Se4 Se 0.000 0.352 0.315 1
Se5 Se 0.000 0.498 0.086 1

=====

# CeScCuSi, optimized geometry, DFT PBE
# - energy relative to the elements, uncorrected (eV/atom) = -0.3606
# - VASP energy (eV/atom) = -5.8067
data_CeScCuSi
_space_group_name_H-M_alt 'F -4 3 m'
_space_group_IT_number 216
_space_group_name_Hall 'F -4 2 3'
_cell_length_a 6.838
_cell_length_b 6.838
_cell_length_c 6.838
_cell_angle_alpha 90.00
_cell_angle_beta 90.00
_cell_angle_gamma 90.00
loop_
_atom_site_label
_atom_site_type_symbol
_atom_site_fract_x
_atom_site_fract_y
_atom_site_fract_z
_atom_site_occupancy
Ce1 Ce 0.000 0.000 0.000 1
Sc1 Sc 0.000 0.000 0.500 1
Cu1 Cu 0.250 0.250 0.750 1
Si1 Si 0.250 0.250 0.250 1

=====

# Ce2ScCu2Si2, optimized geometry, DFT PBE
# - energy relative to the elements, uncorrected (eV/atom) = -0.4756
# - VASP energy (eV/atom) = -5.7953
data_Ce2ScCu2Si2
_space_group_name_H-M_alt 'R -3 m'
_space_group_IT_number 166
_space_group_name_Hall '-R 3 2"'
_cell_length_a 4.1270
_cell_length_b 4.1270
_cell_length_c 25.9385
_cell_angle_alpha 90.00
_cell_angle_beta 90.00
_cell_angle_gamma 120.00
loop_
_atom_site_label
_atom_site_type_symbol
_atom_site_fract_x
_atom_site_fract_y
_atom_site_fract_z
_atom_site_occupancy
Ce1 Ce 0.0000 0.0000 0.1378 1
Sc1 Sc 0.0000 0.0000 0.0000 1
Cu1 Cu 0.0000 0.0000 0.3945 1
Si1 Si 0.0000 0.0000 0.2693 1

=====

# CeScCuSn, optimized geometry, DFT PBE
# - DFT formation energy (eV per atom) = -0.3185
# - VASP energy (eV/atom) = -5.4096
data_CeScCuSn
_space_group_name_H-M_alt 'F -4 3 m'
_space_group_IT_number 216
_space_group_name_Hall 'F -4 2 3'
_cell_length_a 7.185
_cell_length_b 7.185
_cell_length_c 7.185
_cell_angle_alpha 90.00
_cell_angle_beta 90.00
_cell_angle_gamma 90.00
loop_
_atom_site_label
_atom_site_type_symbol
_atom_site_fract_x
_atom_site_fract_y
_atom_site_fract_z
_atom_site_occupancy
Ce1 Ce 0.000 0.000 0.000 1
Sc1 Sc 0.000 0.000 0.500 1
Cu1 Cu 0.250 0.250 0.750 1
Sn1 Sn 0.250 0.250 0.250 1

=====

# CeScCuTc, optimized geometry, DFT PBE
# - DFT formation energy (eV per atom) = -0.1450
# - VASP energy (eV/atom) = -6.8269
data_CeScCuTc
_space_group_name_H-M_alt 'F -4 3 m'
_space_group_IT_number 216
_space_group_name_Hall 'F -4 2 3'
_cell_length_a 6.732
_cell_length_b 6.732
_cell_length_c 6.732
_cell_angle_alpha 90.00
_cell_angle_beta 90.00
_cell_angle_gamma 90.00
loop_
_atom_site_label
_atom_site_type_symbol
_atom_site_fract_x
_atom_site_fract_y
_atom_site_fract_z
_atom_site_occupancy
Ce1 Ce 0.000 0.000 0.000 1
Sc1 Sc 0.000 0.000 0.500 1
Cu1 Cu 0.250 0.250 0.250 1
Tc1 Tc 0.250 0.250 0.750 1

=====

# CeScTlCu, optimized geometry, DFT PBE
# - DFT formation energy (eV per atom) = -0.1052
# - VASP energy (eV/atom) = -4.7872
data_CeScTlCu
_space_group_name_H-M_alt 'F -4 3 m'
_space_group_IT_number 216
_space_group_name_Hall 'F -4 2 3'
_cell_length_a 7.239
_cell_length_b 7.239
_cell_length_c 7.239
_cell_angle_alpha 90.00
_cell_angle_beta 90.00
_cell_angle_gamma 90.00
loop_
_atom_site_label
_atom_site_type_symbol
_atom_site_fract_x
_atom_site_fract_y
_atom_site_fract_z
_atom_site_occupancy
Ce1 Ce 0.000 0.000 0.000 1
Sc1 Sc 0.000 0.000 0.500 1
Tl1 Tl 0.250 0.250 0.250 1
Cu1 Cu 0.250 0.250 0.750 1

=====

# CeScZnCu, optimized geometry, DFT PBE
# - DFT formation energy (eV per atom) = -0.1624
# - VASP energy (eV/atom) = -4.5713
data_CeScZnCu
_space_group_name_H-M_alt 'F -4 3 m'
_space_group_IT_number 216
_space_group_name_Hall 'F -4 2 3'
_cell_length_a 6.926
_cell_length_b 6.926
_cell_length_c 6.926
_cell_angle_alpha 90.00
_cell_angle_beta 90.00
_cell_angle_gamma 90.00
loop_
_atom_site_label
_atom_site_type_symbol
_atom_site_fract_x
_atom_site_fract_y
_atom_site_fract_z
_atom_site_occupancy
Ce1 Ce 0.000 0.000 0.000 1
Sc1 Sc 0.000 0.000 0.500 1
Zn1 Zn 0.250 0.250 0.250 1
Cu1 Cu 0.250 0.250 0.750 1

=====

# Ce3CuSe6, optimized geometry, DFT PBE
# - energy relative to the elements, uncorrected (eV/atom) = -1.4691
# - VASP energy (eV/atom) = -5.7496
data_Ce3CuSe6
_space_group_name_H-M_alt 'C m c 21'
_space_group_IT_number 36
_cell_length_a 11.351
_cell_length_b 13.897
_cell_length_c 6.768
_cell_angle_alpha 90.00
_cell_angle_beta 90.00
_cell_angle_gamma 90.00
loop_
_space_group_symop_operation_xyz
'x,y,z'
'-x,-y,z+1/2'
'-x,y,z'
'x,-y,z+1/2'
'x+1/2,y+1/2,z'
'-x+1/2,-y+1/2,z+1/2'
'-x+1/2,y+1/2,z'
'x+1/2,-y+1/2,z+1/2'
loop_
_atom_site_label
_atom_site_type_symbol
_atom_site_fract_x
_atom_site_fract_y
_atom_site_fract_z
_atom_site_occupancy
Ce1 Ce 0.000 0.110 0.000 1
Ce2 Ce 0.177 0.397 0.908 1
Cu1 Cu 0.000 0.300 0.349 1
Se1 Se 0.000 0.277 0.713 1
Se2 Se 0.000 0.464 0.214 1
Se3 Se 0.162 0.029 0.704 1
Se4 Se 0.173 0.233 0.185 1